The following is a GGA-PBEsol calculation of a relaxed structure of Mg2Ga, from Alexandria.

Computed properties:
The mass density comes out at 3.2 Mg/m³. The value obtained for the total DFT energy (no corrections) is -0.085 Ha/atom.

POSCAR file:
```
Mg2Ga
1.0
1.5894 -7.5266 0.0000
1.5894 7.5266 0.0000
0.0000 0.0000 5.0807
Mg Ga
4 2
Direct
0.0606 0.9394 0.7500 Mg
0.3794 0.6206 0.7500 Mg
0.6206 0.3794 0.2500 Mg
0.9394 0.0606 0.2500 Mg
0.2773 0.7227 0.2500 Ga
0.7227 0.2773 0.7500 Ga
```